No. 1
# Tl2CdHg (GGA-PBEsol, optimized geometry)
# E_tot: -1.710 eV per atom
# calculated formation energy: 0.046 eV/atom
# energy above the most stable polymorph in this dataset: 3.58 kJ/mol of atoms
# magnetic moment: 0.0 Bohr magnetons per cell
# crystal system: orthorhombic
# D(E_F): 3.4 states/eV per cell
data_Tl2CdHg
_space_group_name_H-M_alt 'C m m m'
_space_group_IT_number 65
_space_group_name_Hall '-C 2 2'
_cell_length_a 3.877
_cell_length_b 5.155
_cell_length_c 10.249
_cell_angle_alpha 90.00
_cell_angle_beta 90.00
_cell_angle_gamma 90.00
loop_
_atom_site_label
_atom_site_type_symbol
_atom_site_fract_x
_atom_site_fract_y
_atom_site_fract_z
Tl1 Tl 0.000 0.000 0.246
Cd1 Cd 0.000 0.500 0.000
Hg1 Hg 0.000 0.500 0.500

No. 2
# Tl2CdHg (GGA-PBEsol, optimized geometry)
# E_tot: -1.716 eV per atom
# calculated formation energy: 0.040 eV/atom
# energy above the most stable polymorph in this dataset: 3.00 kJ/mol of atoms
# magnetic moment: 0.0 Bohr magnetons per cell
# crystal system: cubic
# D(E_F): 7.9 states/eV per cell
data_Tl2CdHg
_space_group_name_H-M_alt 'F m -3 m'
_space_group_IT_number 225
_space_group_name_Hall '-F 4 2 3'
_cell_length_a 7.427
_cell_length_b 7.427
_cell_length_c 7.427
_cell_angle_alpha 90.00
_cell_angle_beta 90.00
_cell_angle_gamma 90.00
loop_
_atom_site_label
_atom_site_type_symbol
_atom_site_fract_x
_atom_site_fract_y
_atom_site_fract_z
Tl1 Tl 0.250 0.250 0.250
Cd1 Cd 0.000 0.000 0.000
Hg1 Hg 0.000 0.000 0.500

No. 3
# Tl2CdHg (GGA-PBEsol, optimized geometry)
# E_tot: -1.731 eV per atom
# calculated formation energy: 0.025 eV/atom
# energy above the most stable polymorph in this dataset: 1.50 kJ/mol of atoms
# magnetic moment: 0.0 Bohr magnetons per cell
# crystal system: orthorhombic
# D(E_F): 3.6 states/eV per cell
data_Tl2CdHg
_space_group_name_H-M_alt 'I m m 2'
_space_group_IT_number 44
_cell_length_a 3.592
_cell_length_b 5.397
_cell_length_c 10.527
_cell_angle_alpha 90.00
_cell_angle_beta 90.00
_cell_angle_gamma 90.00
loop_
_space_group_symop_operation_xyz
'x,y,z'
'-x,-y,z'
'-x,y,z'
'x,-y,z'
'x+1/2,y+1/2,z+1/2'
'-x+1/2,-y+1/2,z+1/2'
'-x+1/2,y+1/2,z+1/2'
'x+1/2,-y+1/2,z+1/2'
loop_
_atom_site_label
_atom_site_type_symbol
_atom_site_fract_x
_atom_site_fract_y
_atom_site_fract_z
Tl1 Tl 0.000 0.000 0.000
Tl2 Tl 0.000 0.500 0.226
Cd1 Cd 0.000 0.000 0.478
Hg1 Hg 0.000 0.500 0.754

No. 4
# TlCd2Hg (GGA-PBEsol, optimized geometry)
# E_tot: -1.343 eV per atom
# calculated formation energy: 0.055 eV/atom
# energy above the most stable polymorph in this dataset: 3.56 kJ/mol of atoms
# magnetic moment: 0.0 Bohr magnetons per cell
# crystal system: orthorhombic
# D(E_F): 2.8 states/eV per cell
data_TlCd2Hg
_space_group_name_H-M_alt 'C m m m'
_space_group_IT_number 65
_space_group_name_Hall '-C 2 2'
_cell_length_a 3.427
_cell_length_b 5.466
_cell_length_c 10.171
_cell_angle_alpha 90.00
_cell_angle_beta 90.00
_cell_angle_gamma 90.00
loop_
_atom_site_label
_atom_site_type_symbol
_atom_site_fract_x
_atom_site_fract_y
_atom_site_fract_z
Tl1 Tl 0.000 0.000 0.000
Cd1 Cd 0.000 0.500 0.263
Hg1 Hg 0.000 0.000 0.500

No. 5
# Tl2CdHg (GGA-PBEsol, optimized geometry)
# E_tot: -1.710 eV per atom
# calculated formation energy: 0.046 eV/atom
# energy above the most stable polymorph in this dataset: 3.60 kJ/mol of atoms
# magnetic moment: 0.0 Bohr magnetons per cell
# crystal system: orthorhombic
# D(E_F): 3.8 states/eV per cell
data_Tl2CdHg
_space_group_name_H-M_alt 'I m m m'
_space_group_IT_number 71
_space_group_name_Hall '-I 2 2'
_cell_length_a 3.498
_cell_length_b 5.476
_cell_length_c 10.644
_cell_angle_alpha 90.00
_cell_angle_beta 90.00
_cell_angle_gamma 90.00
loop_
_atom_site_label
_atom_site_type_symbol
_atom_site_fract_x
_atom_site_fract_y
_atom_site_fract_z
Tl1 Tl 0.000 0.000 0.249
Cd1 Cd 0.000 0.500 0.500
Hg1 Hg 0.000 0.500 0.000

No. 6
# TlCd2Hg (GGA-PBEsol, optimized geometry)
# E_tot: -1.367 eV per atom
# calculated formation energy: 0.031 eV/atom
# energy above the most stable polymorph in this dataset: 1.29 kJ/mol of atoms
# magnetic moment: 0.0 Bohr magnetons per cell
# crystal system: trigonal
# D(E_F): 3.8 states/eV per cell
data_TlCd2Hg
_space_group_name_H-M_alt 'R -3 m'
_space_group_IT_number 166
_space_group_name_Hall '-R 3 2"'
_cell_length_a 3.3016
_cell_length_b 3.3016
_cell_length_c 29.7655
_cell_angle_alpha 90.00
_cell_angle_beta 90.00
_cell_angle_gamma 120.00
loop_
_atom_site_label
_atom_site_type_symbol
_atom_site_fract_x
_atom_site_fract_y
_atom_site_fract_z
Tl1 Tl 0.0000 0.0000 0.0000
Cd1 Cd 0.0000 0.0000 0.2454
Hg1 Hg 0.0000 0.0000 0.5000

No. 7
# TlCdHg (GGA-PBEsol, optimized geometry)
# E_tot: -1.407 eV per atom
# calculated formation energy: 0.058 eV/atom
# energy above the most stable polymorph in this dataset: 4.44 kJ/mol of atoms
# magnetic moment: 0.0 Bohr magnetons per cell
# crystal system: cubic
# D(E_F): 4.7 states/eV per cell
data_TlCdHg
_space_group_name_H-M_alt 'F -4 3 m'
_space_group_IT_number 216
_space_group_name_Hall 'F -4 2 3'
_cell_length_a 6.849
_cell_length_b 6.849
_cell_length_c 6.849
_cell_angle_alpha 90.00
_cell_angle_beta 90.00
_cell_angle_gamma 90.00
loop_
_atom_site_label
_atom_site_type_symbol
_atom_site_fract_x
_atom_site_fract_y
_atom_site_fract_z
Tl1 Tl 0.000 0.000 0.000
Cd1 Cd 0.000 0.000 0.500
Hg1 Hg 0.250 0.250 0.750

No. 8
# TlCdHg2 (GGA-PBEsol, optimized geometry)
# E_tot: -1.231 eV per atom
# calculated formation energy: 0.010 eV/atom
# energy above the most stable polymorph in this dataset: 2.10 kJ/mol of atoms
# magnetic moment: 0.0 Bohr magnetons per cell
# crystal system: monoclinic
# D(E_F): 2.5 states/eV per cell
data_TlCdHg2
_space_group_name_H-M_alt 'C 1 2/m 1'
_space_group_IT_number 12
_cell_length_a 10.541
_cell_length_b 3.258
_cell_length_c 5.752
_cell_angle_alpha 90.00
_cell_angle_beta 102.89
_cell_angle_gamma 90.00
loop_
_space_group_symop_operation_xyz
'x,y,z'
'-x,-y,-z'
'-x,y,-z'
'x,-y,z'
'x+1/2,y+1/2,z'
'-x+1/2,-y+1/2,-z'
'-x+1/2,y+1/2,-z'
'x+1/2,-y+1/2,z'
loop_
_atom_site_label
_atom_site_type_symbol
_atom_site_fract_x
_atom_site_fract_y
_atom_site_fract_z
Tl1 Tl 0.000 0.000 0.000
Cd1 Cd 0.000 0.500 0.500
Hg1 Hg 0.242 0.000 0.737

No. 9
# Tl2CdHg (GGA-PBEsol, optimized geometry)
# E_tot: -1.699 eV per atom
# calculated formation energy: 0.057 eV/atom
# energy above the most stable polymorph in this dataset: 4.64 kJ/mol of atoms
# magnetic moment: 0.0 Bohr magnetons per cell
# crystal system: cubic
# D(E_F): 7.9 states/eV per cell
data_Tl2CdHg
_space_group_name_H-M_alt 'F -4 3 m'
_space_group_IT_number 216
_space_group_name_Hall 'F -4 2 3'
_cell_length_a 7.412
_cell_length_b 7.412
_cell_length_c 7.412
_cell_angle_alpha 90.00
_cell_angle_beta 90.00
_cell_angle_gamma 90.00
loop_
_atom_site_label
_atom_site_type_symbol
_atom_site_fract_x
_atom_site_fract_y
_atom_site_fract_z
Tl1 Tl 0.000 0.000 0.000
Tl2 Tl 0.250 0.250 0.250
Cd1 Cd 0.000 0.000 0.500
Hg1 Hg 0.250 0.250 0.750

No. 10
# TlCd2Hg (GGA-PBEsol, optimized geometry)
# E_tot: -1.362 eV per atom
# calculated formation energy: 0.035 eV/atom
# energy above the most stable polymorph in this dataset: 1.69 kJ/mol of atoms
# magnetic moment: 0.0 Bohr magnetons per cell
# crystal system: monoclinic
# D(E_F): 2.8 states/eV per cell
data_TlCd2Hg
_space_group_name_H-M_alt 'C 1 m 1'
_space_group_IT_number 8
_cell_length_a 10.538
_cell_length_b 3.180
_cell_length_c 5.688
_cell_angle_alpha 90.00
_cell_angle_beta 102.24
_cell_angle_gamma 90.00
loop_
_space_group_symop_operation_xyz
'x,y,z'
'x,-y,z'
'x+1/2,y+1/2,z'
'x+1/2,-y+1/2,z'
loop_
_atom_site_label
_atom_site_type_symbol
_atom_site_fract_x
_atom_site_fract_y
_atom_site_fract_z
Tl1 Tl 0.000 0.000 0.000
Cd1 Cd 0.004 0.500 0.502
Cd2 Cd 0.244 0.000 0.748
Hg1 Hg 0.259 0.500 0.274

No. 11
# TlCd4Hg (GGA-PBEsol, optimized geometry)
# E_tot: -1.271 eV per atom
# calculated formation energy: 0.060 eV/atom
# magnetic moment: 0.0 Bohr magnetons per cell
# crystal system: cubic
# D(E_F): 11.1 states/eV per cell
data_TlCd4Hg
_space_group_name_H-M_alt 'F -4 3 m'
_space_group_IT_number 216
_space_group_name_Hall 'F -4 2 3'
_cell_length_a 8.234
_cell_length_b 8.234
_cell_length_c 8.234
_cell_angle_alpha 90.00
_cell_angle_beta 90.00
_cell_angle_gamma 90.00
loop_
_atom_site_label
_atom_site_type_symbol
_atom_site_fract_x
_atom_site_fract_y
_atom_site_fract_z
Tl1 Tl 0.000 0.000 0.000
Cd1 Cd 0.125 0.125 0.375
Hg1 Hg 0.250 0.250 0.750

No. 12
# TlCd2Hg2 (GGA-PBEsol, optimized geometry)
# E_tot: -1.208 eV per atom
# calculated formation energy: 0.024 eV/atom
# energy above the most stable polymorph in this dataset: 1.73 kJ/mol of atoms
# magnetic moment: 0.0 Bohr magnetons per cell
# crystal system: tetragonal
# D(E_F): 4.1 states/eV per cell
data_TlCd2Hg2
_space_group_name_H-M_alt 'I 4/m m m'
_space_group_IT_number 139
_space_group_name_Hall '-I 4 2'
_cell_length_a 4.254
_cell_length_b 4.254
_cell_length_c 13.736
_cell_angle_alpha 90.00
_cell_angle_beta 90.00
_cell_angle_gamma 90.00
loop_
_atom_site_label
_atom_site_type_symbol
_atom_site_fract_x
_atom_site_fract_y
_atom_site_fract_z
Tl1 Tl 0.000 0.000 0.000
Cd1 Cd 0.000 0.500 0.250
Hg1 Hg 0.000 0.000 0.398

No. 13
# TlCd2Hg (GGA-PBEsol, optimized geometry)
# E_tot: -1.343 eV per atom
# calculated formation energy: 0.055 eV/atom
# energy above the most stable polymorph in this dataset: 3.57 kJ/mol of atoms
# magnetic moment: 0.0 Bohr magnetons per cell
# crystal system: tetragonal
# D(E_F): 1.3 states/eV per cell
data_TlCd2Hg
_space_group_name_H-M_alt 'P 4/m m m'
_space_group_IT_number 123
_space_group_name_Hall '-P 4 2'
_cell_length_a 5.050
_cell_length_b 5.050
_cell_length_c 3.707
_cell_angle_alpha 90.00
_cell_angle_beta 90.00
_cell_angle_gamma 90.00
loop_
_atom_site_label
_atom_site_type_symbol
_atom_site_fract_x
_atom_site_fract_y
_atom_site_fract_z
Tl1 Tl 0.000 0.000 0.000
Cd1 Cd 0.000 0.500 0.500
Hg1 Hg 0.500 0.500 0.000

No. 14
# TlCdHg2 (GGA-PBEsol, optimized geometry)
# E_tot: -1.228 eV per atom
# calculated formation energy: 0.013 eV/atom
# energy above the most stable polymorph in this dataset: 2.39 kJ/mol of atoms
# magnetic moment: 0.0 Bohr magnetons per cell
# crystal system: orthorhombic
# D(E_F): 1.2 states/eV per cell
data_TlCdHg2
_space_group_name_H-M_alt 'P m m 2'
_space_group_IT_number 25
_cell_length_a 3.257
_cell_length_b 4.669
_cell_length_c 6.337
_cell_angle_alpha 90.00
_cell_angle_beta 90.00
_cell_angle_gamma 90.00
loop_
_space_group_symop_operation_xyz
'x,y,z'
'-x,-y,z'
'-x,y,z'
'x,-y,z'
loop_
_atom_site_label
_atom_site_type_symbol
_atom_site_fract_x
_atom_site_fract_y
_atom_site_fract_z
Tl1 Tl 0.000 0.000 0.000
Cd1 Cd 0.500 0.500 0.270
Hg1 Hg 0.000 0.000 0.494
Hg2 Hg 0.500 0.500 0.748

No. 15
# TlCdHg2 (GGA-PBEsol, optimized geometry)
# E_tot: -1.234 eV per atom
# calculated formation energy: 0.006 eV/atom
# energy above the most stable polymorph in this dataset: 1.79 kJ/mol of atoms
# magnetic moment: 0.0 Bohr magnetons per cell
# crystal system: tetragonal
# D(E_F): 2.2 states/eV per cell
data_TlCdHg2
_space_group_name_H-M_alt 'I -4 m 2'
_space_group_IT_number 119
_space_group_name_Hall 'I -4 -2'
_cell_length_a 4.606
_cell_length_b 4.606
_cell_length_c 9.119
_cell_angle_alpha 90.00
_cell_angle_beta 90.00
_cell_angle_gamma 90.00
loop_
_atom_site_label
_atom_site_type_symbol
_atom_site_fract_x
_atom_site_fract_y
_atom_site_fract_z
Tl1 Tl 0.000 0.000 0.000
Cd1 Cd 0.000 0.500 0.250
Hg1 Hg 0.000 0.000 0.500
Hg2 Hg 0.000 0.500 0.750